1.
Material: SiBRhAuCS
Method: DFT, PBE-GGA
State: relaxed

abc: 2.8347 5.0796 7.5150
angles: 83.96 80.07 89.85
Space group P1 (No. 1)
Inequivalent atoms, fractional coordinates:
1 Si 0.0000 0.0000 0.0000
2 B 0.5530 0.7758 0.8857
3 Rh 0.1407 0.8750 0.6863
4 Au 0.5787 0.3719 0.8274
5 C 0.8881 0.0018 0.2477
6 S 0.3267 0.0357 0.3815

## Properties
Formation energy (no corrections)   0.42 eV per atom
E   -5.588 eV per atom
Crystal system   triclinic
Energy relative to the lowest polymorph listed for this composition   246.0 meV/atom

***

2.
Material: KYAu2I6
Method: DFT, PBE-GGA
State: relaxed

abc: 7.9259 7.9292 9.3468
angles: 65.01 64.92 60.07
Space group P1 (No. 1)
Inequivalent atoms, fractional coordinates:
1 K 0.0000 0.0000 0.0000
2 Y 0.4999 0.4998 0.5002
3 Au 0.2351 0.2354 0.2925
4 Au 0.7644 0.7641 0.7086
5 I 0.1143 0.4300 0.7238
6 I 0.2676 0.8844 0.2774
7 I 0.4302 0.7319 0.7237
8 I 0.5697 0.2670 0.2774
9 I 0.7318 0.1153 0.7235
10 I 0.8856 0.5700 0.2773

## Properties
Formation energy (no corrections)   -0.81 eV per atom
E   -3.156 eV per atom
Crystal system   triclinic

***

Q: Which of these has the highest formation energy (no corrections)?
A: SiBRhAuCS